# 1
Here is In2ReCl after structural relaxation from Alexandria. Energies are from PBE.

total DFT energy (no corrections)	-18.11	eV/cell
space-group type	Cmm2
energy above the most stable polymorph in this dataset	143	meV/atom
formation energy without anion corrections	0.4147	eV/atom
M_tot	0.00	Bohr magnetons per cell

a = 3.1691 Å, b = 3.1691 Å, c = 10.5133 Å
α = 90.00°, β = 90.00°, γ = 123.50°
Fractional positions:
In 0.0000 0.0000 0.0121
In 0.5000 0.5000 0.2846
Cl 0.5000 0.5000 0.6895
Re 0.0000 0.0000 0.5138



# 2
Here is PrH6PdPt2 after structural relaxation from Alexandria. Energies are from PBE.

total DFT energy (no corrections)	-45.50	eV/cell
space-group type	R-3m
M_tot	0.00	Bohr magnetons per cell

a = 4.8162 Å, b = 4.8162 Å, c = 5.7328 Å
α = 65.16°, β = 65.16°, γ = 60.00°
Fractional positions:
Pr 0.0000 0.0000 0.0000
H 0.4424 0.4423 0.2127
H 0.5577 0.0974 0.7873
H 0.5576 0.5577 0.7873
H 0.0974 0.5576 0.7873
H 0.4423 0.9026 0.2127
H 0.9026 0.4424 0.2127
Pt 0.7871 0.7871 0.6386
Pt 0.2129 0.2129 0.3614
Pd 0.5000 0.5000 0.5000



# 3
Here is Ce4Hg5Ge2 after structural relaxation from Alexandria. Energies are from PBE.

total DFT energy (no corrections)	-38.69	eV/cell
space-group type	P2/m
M_tot	4.10	Bohr magnetons per cell

a = 3.9617 Å, b = 7.8990 Å, c = 9.4031 Å
α = 95.92°, β = 90.00°, γ = 90.00°
Each line ends with the local moment (μB).
Fractional positions:
Hg 0.0000 0.4611 0.6750  0.01
Hg 0.0000 0.5389 0.3250  0.01
Hg 0.0000 0.8462 0.8665  0.01
Hg 0.0000 0.1538 0.1335  0.01
Hg 0.0000 0.5000 0.0000  0.02
Ce 0.5000 0.2362 0.4311  0.80
Ce 0.5000 0.8101 0.1458  0.86
Ce 0.5000 0.1899 0.8542  0.86
Ce 0.5000 0.7638 0.5689  0.80
Ge 0.0000 0.9340 0.3725  -0.02
Ge 0.0000 0.0660 0.6275  -0.02



# 4
Here is CsNaSrCl4 after structural relaxation from Alexandria. Energies are from PBE.

total DFT energy (no corrections)	-51.89	eV/cell
space-group type	P2_1/m
formation energy without anion corrections	-2.1009	eV/atom
M_tot	0.00	Bohr magnetons per cell

a = 7.5755 Å, b = 7.4358 Å, c = 10.5060 Å
α = 90.00°, β = 122.93°, γ = 90.00°
Fractional positions:
Cl 0.3915 0.7500 0.1652
Cl 0.9177 0.9957 0.3002
Cl 0.5375 0.7500 0.5864
Cl 0.9177 0.5043 0.3002
Cl 0.0823 0.4957 0.6998
Cl 0.0823 0.0043 0.6998
Cl 0.4625 0.2500 0.4136
Cl 0.6085 0.2500 0.8348
Cs 0.5703 0.7500 0.9171
Cs 0.4297 0.2500 0.0829
Sr 0.2082 0.2500 0.5400
Sr 0.7918 0.7500 0.4600
Na 0.8057 0.2500 0.6892
Na 0.1943 0.7500 0.3108



# 5
Here is Ga5Te3S12 after structural relaxation from Alexandria. Energies are from PBE.

total DFT energy (no corrections)	-310.61	eV/cell
space-group type	Ia-3d
formation energy without anion corrections	-0.1782	eV/atom
M_tot	0.00	Bohr magnetons per cell

a = 13.2895 Å, b = 13.2895 Å, c = 13.2895 Å
α = 109.47°, β = 109.47°, γ = 109.47°
Fractional positions:
Te 0.1250 0.2500 0.8750
Te 0.8750 0.7500 0.1250
Te 0.6250 0.2500 0.3750
Te 0.2500 0.1250 0.3750
Te 0.1250 0.8750 0.7500
Te 0.3750 0.7500 0.6250
Te 0.7500 0.8750 0.6250
Te 0.6250 0.3750 0.7500
Te 0.3750 0.6250 0.2500
Te 0.7500 0.3750 0.1250
Te 0.8750 0.1250 0.2500
Te 0.2500 0.6250 0.8750
Ga 0.5000 0.5000 0.5000
Ga 0.3750 0.1250 0.7500
Ga 0.0000 0.5000 0.0000
Ga 0.8750 0.6250 0.7500
Ga 0.8750 0.2500 0.6250
Ga 0.2500 0.3750 0.6250
Ga 0.1250 0.3750 0.2500
Ga 0.5000 0.0000 0.5000
Ga 0.0000 0.0000 0.5000
Ga 0.7500 0.1250 0.8750
Ga 0.5000 0.0000 0.0000
Ga 0.7500 0.6250 0.3750
Ga 0.3750 0.2500 0.1250
Ga 0.6250 0.8750 0.2500
Ga 0.6250 0.7500 0.8750
Ga 0.0000 0.0000 0.0000
Ga 0.1250 0.7500 0.3750
Ga 0.5000 0.5000 0.0000
Ga 0.0000 0.5000 0.5000
Ga 0.2500 0.8750 0.1250
S 0.6998 0.5665 0.1736
S 0.9335 0.8264 0.8002
S 0.1071 0.9335 0.1333
S 0.3667 0.3929 0.0665
S 0.1736 0.0665 0.6998
S 0.6736 0.4738 0.6071
S 0.0262 0.3929 0.8264
S 0.1333 0.6998 0.5262
S 0.8264 0.9335 0.3002
S 0.9738 0.3667 0.3002
S 0.1333 0.4335 0.1071
S 0.4738 0.6736 0.1071
S 0.5665 0.6998 0.6736
S 0.1998 0.5262 0.6333
S 0.0665 0.8929 0.3667
S 0.1071 0.1736 0.4738
S 0.8667 0.5665 0.8929
S 0.3002 0.4335 0.8264
S 0.6333 0.6071 0.9335
S 0.3929 0.0262 0.3264
S 0.0262 0.6333 0.6998
S 0.6071 0.6333 0.4335
S 0.3264 0.5262 0.3929
S 0.6998 0.1333 0.0262
S 0.6333 0.0262 0.1998
S 0.6071 0.9738 0.6736
S 0.8929 0.8264 0.5262
S 0.4335 0.1333 0.6071
S 0.8929 0.0665 0.8667
S 0.6736 0.1998 0.5665
S 0.8264 0.8929 0.0262
S 0.8667 0.3002 0.4738
S 0.9335 0.1071 0.6333
S 0.8002 0.4738 0.3667
S 0.1998 0.6736 0.0665
S 0.3929 0.3667 0.5665
S 0.4738 0.8002 0.8667
S 0.8002 0.3264 0.9335
S 0.4335 0.3002 0.3264
S 0.9738 0.6071 0.1736
S 0.5665 0.8667 0.3929
S 0.5262 0.3264 0.8929
S 0.3264 0.8002 0.4335
S 0.3002 0.8667 0.9738
S 0.1736 0.1071 0.9738
S 0.0665 0.1736 0.1998
S 0.3667 0.9738 0.8002
S 0.5262 0.1998 0.1333



# 6
Here is CeDyAs2 after structural relaxation from Alexandria. Energies are from PBE.

total DFT energy (no corrections)	-51.08	eV/cell
space-group type	P6_3/mmc
energy above the most stable polymorph in this dataset	56	meV/atom
M_tot	1.20	Bohr magnetons per cell

a = 4.1561 Å, b = 4.1561 Å, c = 13.6465 Å
α = 90.00°, β = 90.00°, γ = 120.00°
Each line ends with the local moment (μB).
Fractional positions:
As 0.6667 0.3333 0.8752  -0.02
As 0.3333 0.6667 0.1248  -0.02
As 0.6667 0.3333 0.6248  -0.02
As 0.3333 0.6667 0.3752  -0.02
Ce 0.0000 0.0000 0.5000  0.52
Ce 0.0000 0.0000 0.0000  0.52
Dy 0.3333 0.6667 0.7500  0.03
Dy 0.6667 0.3333 0.2500  0.03



# 7
Here is Nb2ZnCoW after structural relaxation from Alexandria. Energies are from PBE.

total DFT energy (no corrections)	-34.60	eV/cell
space-group type	P4/mmm
energy above the most stable polymorph in this dataset	0	meV/atom
M_tot	0.00	Bohr magnetons per cell

a = 4.8587 Å, b = 4.4578 Å, c = 4.8587 Å
α = 90.00°, β = 90.00°, γ = 90.00°
Fractional positions:
Nb 0.0000 0.0000 0.5000
Nb 0.5000 0.0000 0.0000
Zn 0.5000 0.5000 0.5000
Co 0.0000 0.5000 0.0000
W 0.0000 0.0000 0.0000



# 8
Here is LaHo3Er2Tm6 after structural relaxation from Alexandria. Energies are from PBE.

total DFT energy (no corrections)	-54.29	eV/cell
space-group type	C2/m
M_tot	0.00	Bohr magnetons per cell

a = 6.0969 Å, b = 6.0969 Å, c = 11.6663 Å
α = 94.98°, β = 94.98°, γ = 119.95°
Fractional positions:
Er 0.3333 0.6667 0.0000
Er 0.6667 0.3333 0.0000
Tm 0.0849 0.4196 0.2524
Tm 0.9151 0.5804 0.7476
Tm 0.7500 0.7500 0.2524
Tm 0.5804 0.9151 0.7476
Tm 0.4196 0.0849 0.2524
Tm 0.2500 0.2500 0.7476
Ho 0.5000 0.5000 0.5000
Ho 0.1669 0.8331 0.5000
Ho 0.8331 0.1669 0.5000
La 0.0000 0.0000 0.0000